#one
A relaxed MnV6Cr2 crystal. Source: Alexandria, functional PBE-GGA.

Geometry as extended XYZ:
```
9
Lattice="-2.133 -0.409 -3.117 4.633 -1.021 -3.037 -1.806 -5.331 4.260" Properties=species:S:1:pos:R:3 pbc="T T T"
V -0.279 -4.500 -1.527
V 0.075 -0.456 -2.307
V 0.973 -2.261 -0.366
V 3.291 -2.771 -1.886
V 2.425 -0.974 -3.847
V -2.598 -3.989 -0.007
Mn 0.000 0.000 0.000
Cr 1.065 -2.721 -2.685
Cr -0.371 -4.040 0.791
```

Properties
M_tot in μB per formula unit: 0.0
Space-group type: C2/m

***

#two
A relaxed MnV6Cr2 crystal. Source: Alexandria, functional PBE-GGA.

Geometry as extended XYZ:
```
18
Lattice="-6.361 4.864 -2.640 -0.647 -3.696 -3.968 -2.643 -1.736 4.452" Properties=species:S:1:pos:R:3 pbc="T T T"
Cr -0.971 -0.747 0.010
Cr -4.123 1.657 -1.430
Cr -8.680 0.178 -2.166
Cr -5.528 -2.226 -0.726
V -3.012 -2.507 0.197
V -4.111 -1.413 -2.900
V -4.776 -1.620 1.854
V -3.598 -0.357 -0.442
V -6.842 -0.283 -4.166
V -8.254 1.964 -0.160
V -6.053 -0.212 -1.713
V -6.639 1.937 -2.353
V -4.875 1.051 -4.010
V -1.397 -2.534 -1.995
V -2.809 -0.286 2.010
V -5.540 0.843 0.744
Mn -7.301 1.800 1.995
Mn -2.350 -2.369 -4.150
```

Properties
M_tot in μB per formula unit: 0.0
Space-group type: C2/c

***

Looking at the structures above, which would you pick as the most stable? I would pick #two.